This record from the Alexandria database describes Mg2TePb4WO12 after structural relaxation. The functional is GGA+U.

abc: 5.7612 8.0794 11.5134
angles: 90.00 90.00 90.00
Fractional coordinates of all 40 atoms:
O 0.2355 0.5000 0.7381
O 0.5172 0.2572 0.1318
Mg 0.4861 0.0000 0.1196
O 0.2315 0.0000 0.5015
O 0.9785 0.2406 0.8686
O 0.7189 0.5000 0.7529
Pb 0.5291 0.7523 0.8645
O 0.7685 0.0000 0.0015
O 0.7362 0.5000 0.0025
W 0.5059 0.5000 0.6217
O 0.7290 0.0000 0.7671
Pb 0.9582 0.7474 0.1352
Pb 0.4709 0.2477 0.3645
O 0.4828 0.7428 0.6318
O 0.7645 0.5000 0.2381
Pb 0.5291 0.2477 0.8645
O 0.2710 0.0000 0.2671
Pb 0.0418 0.7474 0.6352
O 0.0215 0.7594 0.3686
Te 0.9974 0.0000 0.8774
Mg 0.0047 0.5000 0.8779
O 0.5172 0.7428 0.1318
O 0.9785 0.7594 0.8686
Pb 0.4709 0.7523 0.3645
O 0.2106 0.0000 0.7458
O 0.4828 0.2572 0.6318
W 0.4941 0.5000 0.1217
Pb 0.9582 0.2526 0.1352
Mg 0.9953 0.5000 0.3779
O 0.7493 0.0000 0.4854
Mg 0.5139 0.0000 0.6196
O 0.2811 0.5000 0.2529
O 0.7447 0.5000 0.5097
O 0.2553 0.5000 0.0097
O 0.0215 0.2406 0.3686
Pb 0.0418 0.2526 0.6352
O 0.7894 0.0000 0.2458
O 0.2507 0.0000 0.9854
O 0.2638 0.5000 0.5025
Te 0.0026 0.0000 0.3774

Values from the calculation:
* total DFT energy (no corrections): -6.045 eV/atom